Entry 1:
Below is an optimized crystal structure of Cs3ScZn, with properties calculated at the PBE level.

Calculated formation energy   0.708 eV/atom
Total magnetization   1.57 μB/f.u.
Total energy   -6.63 eV per cell

Cell and atoms, written as CIF:
```
data_Cs3ScZn
_cell_length_a 7.0902
_cell_length_b 7.0902
_cell_length_c 7.0902
_cell_angle_alpha 90.00
_cell_angle_beta 90.00
_cell_angle_gamma 90.00
_space_group_name_H-M_alt 'P m -3 m'
_space_group_IT_number 221
_space_group_name_Hall '-P 4 2 3'
loop_
_atom_site_label
_atom_site_type_symbol
_atom_site_fract_x
_atom_site_fract_y
_atom_site_fract_z
Cs1 Cs 0.0000 0.0000 0.5000
Sc1 Sc 0.5000 0.5000 0.5000
Zn1 Zn 0.0000 0.0000 0.0000
```


Entry 2:
Below is an optimized crystal structure of Mo2RuW, with properties calculated at the PBE level.

E above lowest polymorph   0.114 eV per atom
Calculated formation energy   0.224 eV/atom
Total magnetization   0.00 μB/f.u.
Total energy   -43.00 eV per cell

Cell and atoms, written as CIF:
```
data_Mo2RuW
_cell_length_a 2.7475
_cell_length_b 3.9860
_cell_length_c 5.6936
_cell_angle_alpha 90.00
_cell_angle_beta 90.00
_cell_angle_gamma 90.00
_space_group_name_H-M_alt 'P m m 2'
_space_group_IT_number 25
loop_
_space_group_symop_operation_xyz
'x,y,z'
'-x,-y,z'
'-x,y,z'
'x,-y,z'
loop_
_atom_site_label
_atom_site_type_symbol
_atom_site_fract_x
_atom_site_fract_y
_atom_site_fract_z
Mo1 Mo 0.0000 0.0000 0.0000
Mo2 Mo 0.5000 0.5000 0.2552
Ru1 Ru 0.0000 0.0000 0.4992
W1 W 0.5000 0.5000 0.7394
```


Entry 3:
Below is an optimized crystal structure of MgMo2Os, with properties calculated at the PBE level.

Calculated formation energy   0.365 eV/atom
Total magnetization   0.00 μB/f.u.
Total energy   -33.03 eV per cell

Cell and atoms, written as CIF:
```
data_MgMo2Os
_cell_length_a 3.8598
_cell_length_b 3.8598
_cell_length_c 4.2075
_cell_angle_alpha 90.00
_cell_angle_beta 90.00
_cell_angle_gamma 90.00
_space_group_name_H-M_alt 'P 4/m m m'
_space_group_IT_number 123
_space_group_name_Hall '-P 4 2'
loop_
_atom_site_label
_atom_site_type_symbol
_atom_site_fract_x
_atom_site_fract_y
_atom_site_fract_z
Mg1 Mg 0.0000 0.0000 0.0000
Mo1 Mo 0.0000 0.5000 0.5000
Os1 Os 0.5000 0.5000 0.0000
```